Record 1
# Pm3Cd2Au4 | Alexandria via LeMat-Bulk | PBE | relaxed
data_Pm3Cd2Au4
_chemical_formula_sum 'Pm6 Cd4 Au8'
_cell_length_a 10.0131
_cell_length_b 4.6557
_cell_length_c 9.4306
_cell_angle_alpha 90.00
_cell_angle_beta 92.20
_cell_angle_gamma 90.00
_space_group_name_H-M_alt 'C 1 2/m 1'
_space_group_IT_number 12
loop_
_space_group_symop_operation_xyz
'x,y,z'
'-x,-y,-z'
'-x,y,-z'
'x,-y,z'
'x+1/2,y+1/2,z'
'-x+1/2,-y+1/2,-z'
'-x+1/2,y+1/2,-z'
'x+1/2,-y+1/2,z'
loop_
_atom_site_label
_atom_site_type_symbol
_atom_site_fract_x
_atom_site_fract_y
_atom_site_fract_z
_atom_site_occupancy
Pm1 Pm 0.0000 0.0000 0.0000 1
Pm2 Pm 0.1358 0.5000 0.6137 1
Cd1 Cd 0.1641 0.5000 0.2264 1
Au1 Au 0.0676 0.0000 0.3707 1
Au2 Au 0.1861 0.5000 0.9227 1
# Total DFT energy (no corrections) in eV/atom: -3.87
# ΔE_f in eV per atom: -0.6249
# Energy above the most stable polymorph in this dataset in eV per atom: 0.034
# Spin magnetization in μB per formula unit: 0.00


Record 2
# PmCd2Au4 | Alexandria via LeMat-Bulk | PBE | relaxed
data_PmCd2Au4
_chemical_formula_sum 'Pm2 Cd4 Au8'
_cell_length_a 7.2351
_cell_length_b 7.2351
_cell_length_c 5.5802
_cell_angle_alpha 90.00
_cell_angle_beta 90.00
_cell_angle_gamma 90.00
_space_group_name_H-M_alt 'I 4/m m m'
_space_group_IT_number 139
_space_group_name_Hall '-I 4 2'
loop_
_atom_site_label
_atom_site_type_symbol
_atom_site_fract_x
_atom_site_fract_y
_atom_site_fract_z
_atom_site_occupancy
Pm1 Pm 0.0000 0.0000 0.0000 1
Cd1 Cd 0.0000 0.5000 0.2500 1
Au1 Au 0.1960 0.1960 0.5000 1
# Total DFT energy (no corrections) in eV/atom: -3.30
# ΔE_f in eV per atom: -0.4916
# Spin magnetization in μB per formula unit: 0.00


Record 3
# Pm6CdAu | Alexandria via LeMat-Bulk | PBE | relaxed
data_Pm6CdAu
_chemical_formula_sum 'Pm12 Cd2 Au2'
_cell_length_a 5.2367
_cell_length_b 5.2367
_cell_length_c 17.8113
_cell_angle_alpha 90.00
_cell_angle_beta 90.00
_cell_angle_gamma 90.00
_space_group_name_H-M_alt 'I 4/m m m'
_space_group_IT_number 139
_space_group_name_Hall '-I 4 2'
loop_
_atom_site_label
_atom_site_type_symbol
_atom_site_fract_x
_atom_site_fract_y
_atom_site_fract_z
_atom_site_occupancy
Pm1 Pm 0.0000 0.0000 0.2484 1
Pm2 Pm 0.0000 0.5000 0.1080 1
Cd1 Cd 0.0000 0.0000 0.0000 1
Au1 Au 0.0000 0.0000 0.5000 1
# Total DFT energy (no corrections) in eV/atom: -4.33
# ΔE_f in eV per atom: -0.2432
# Spin magnetization in μB per formula unit: 0.00